# 1
Entry from the Alexandria database: crystalline ZrSc2Ga at its relaxed geometry (GGA-PBE).

Output
energy of formation from the pure elements	-0.8	eV/f.u.
magnetization	0.0	μB/cell

a = 3.2660 Å, b = 3.2660 Å, c = 28.7936 Å
α = 90.00°, β = 90.00°, γ = 120.00°
Closest atoms and distances in Å follow each position.
Space group R3m (No. 160, hexagonal axes)
Symmetry-distinct sites (fractional):
Zr 0.0000 0.0000 0.0000 [3 per cell]  6 Sc 3.20, 6 Zr 3.27
Sc 0.0000 0.0000 0.2437 [3 per cell]  3 Ga 2.91, 3 Zr 3.20
Sc 0.0000 0.0000 0.4232 [3 per cell]  3 Ga 2.91, 3 Zr 3.20
Ga 0.0000 0.0000 0.8336 [3 per cell]  6 Sc 2.91

# 2
Entry from the Alexandria database: crystalline TiNb3Sb at its relaxed geometry (GGA-PBE).

Output
uncorrected formation energy	956	meV/atom
magnetization	0.0	μB/cell

a = 4.7364 Å, b = 4.7364 Å, c = 4.7364 Å
α = 90.00°, β = 90.00°, γ = 90.00°
Closest atoms and distances in Å follow each position.
Space group Pm-3m (No. 221)
Symmetry-distinct sites (fractional):
Ti 0.0000 0.0000 0.0000 [1 per cell]  6 Nb 2.37
Nb 0.0000 0.0000 0.5000 [3 per cell]  2 Ti 2.37
Sb 0.5000 0.5000 0.5000 [1 per cell]  12 Nb 3.35

# 3
Entry from the Alexandria database: crystalline Pm4InPt at its relaxed geometry (GGA-PBE).

Output
energy of formation from the pure elements	-3.7	eV/f.u.
magnetization	0.0	μB/cell

a = 14.1154 Å, b = 14.1154 Å, c = 14.1154 Å
α = 90.00°, β = 90.00°, γ = 90.00°
Closest atoms and distances in Å follow each position.
Space group F-43m (No. 216)
Symmetry-distinct sites (fractional):
Pm 0.0000 0.0000 0.1870 [24 per cell]  2 In 3.37, 2 Pt 3.61, 10 Pm 3.61-3.73
Pm 0.0580 0.2500 0.7500 [24 per cell]  2 Pt 2.94
Pm 0.1008 0.1008 0.3992 [16 per cell]  3 Pt 2.93
In 0.1683 0.1683 0.1683 [16 per cell]  3 In 3.26, 9 Pm 3.37-3.59
Pt 0.1069 0.1069 0.6069 [16 per cell]  6 Pm 2.93-2.94

Q: Number 2 is which compound?
A: TiNb3Sb